VASP calculation (PBE) on a relaxed structure of NbSiNi. Values from VASP.

Computed properties:
calculated volume: 13.297 Å³ per atom
ρ: 7.48 g/cm3
raw total energy: -92.966 eV for the cell shown
formation energy (no corrections): -1.97 eV per formula unit

The structure in Quantum ESPRESSO input format:
```
&SYSTEM
  ibrav = 0, nat = 12, ntyp = 3
/
ATOMIC_SPECIES
Nb 92.91 Nb.upf
Si 28.09 Si.upf
Ni 58.69 Ni.upf
CELL_PARAMETERS angstrom
4.813 0.000 0.000
0.000 4.929 0.000
0.000 0.000 6.726
ATOMIC_POSITIONS crystal
Nb 0.000 0.250 0.129
Nb 0.000 0.750 0.871
Nb 0.500 0.250 0.371
Nb 0.500 0.750 0.629
Si 0.000 0.000 0.500
Si 0.000 0.500 0.500
Si 0.500 0.000 0.000
Si 0.500 0.500 0.000
Ni 0.250 0.250 0.750
Ni 0.250 0.750 0.250
Ni 0.750 0.250 0.750
Ni 0.750 0.750 0.250
```

***

VASP calculation (PBE) on a relaxed structure of SiAuSeN2. Values from VASP.

Computed properties:
calculated volume: 16.581 Å³ per atom
distance to the lowest polymorph of the same formula: 0.0 meV/atom
ρ: 6.65 g/cm3
raw total energy: -25.754 eV for the cell shown
formation energy (no corrections): 3.08 eV per formula unit

The structure in Quantum ESPRESSO input format:
```
&SYSTEM
  ibrav = 0, nat = 5, ntyp = 4
/
ATOMIC_SPECIES
Si 28.09 Si.upf
Au 196.97 Au.upf
Se 78.96 Se.upf
N 14.01 N.upf
CELL_PARAMETERS angstrom
3.525 0.000 0.000
0.000 3.525 0.000
0.000 0.000 6.672
ATOMIC_POSITIONS crystal
Si 0.000 0.000 0.000
Au 0.500 0.500 0.500
Se 0.000 0.000 0.500
N 0.000 0.500 0.000
N 0.500 0.000 0.000
```